# Sm2ScRh3 (PBE-GGA, optimized geometry)
data_Sm2ScRh3
_symmetry_space_group_name_H-M 'P -3 m 1'
_symmetry_Int_Tables_number 164
_symmetry_space_group_name_Hall '-P 3 2"'
_cell_length_a 4.8215
_cell_length_b 4.8215
_cell_length_c 11.8744
_cell_angle_alpha 90.00
_cell_angle_beta 90.00
_cell_angle_gamma 120.00
loop_
_atom_site_label
_atom_site_fract_x
_atom_site_fract_y
_atom_site_fract_z
Sm1 0.0000 0.0000 0.0000
Sm2 0.0000 0.0000 0.5000
Sm3 0.3333 0.6667 0.1745
Sc1 0.3333 0.6667 0.6621
Rh1 0.0000 0.0000 0.2593
Rh2 0.3333 0.6667 0.4187
Rh3 0.3333 0.6667 0.9039
# Uncorrected energy: -0.5203 Ry per atom